1 | Entry from Alexandria: a geometry-optimized LaHg2W structure (PBE).

- mass density (kg/m³) = 12231
- space-group type = No. 216

Lattice parameters (Å, degrees): 5.180 5.180 5.180 60.00 60.00 60.00
Positions (direct):
La 0.000 0.000 0.000
Hg 0.250 0.250 0.250
Hg 0.500 0.500 0.500
W 0.750 0.750 0.750

***

2 | Entry from Alexandria: a geometry-optimized LaHg2W structure (PBE).

- mass density (kg/m³) = 13434
- space-group type = No. 65

Lattice parameters (Å, degrees): 5.501 5.501 3.163 90.00 90.00 110.80
Positions (direct):
La 0.000 0.000 0.000
Hg 0.000 0.500 0.500
Hg 0.500 0.000 0.500
W 0.500 0.500 0.000

***

3 | Entry from Alexandria: a geometry-optimized LaHg2W structure (PBE).

- mass density (kg/m³) = 13581
- space-group type = No. 166

Lattice parameters (Å, degrees): 10.747 10.747 10.747 16.62 16.62 16.62
Positions (direct):
La 0.000 0.000 0.000
Hg 0.242 0.242 0.242
Hg 0.758 0.758 0.758
W 0.500 0.500 0.500

***

How do the energies compare? Relative to the most stable structure, in kJ/mol of atoms: 1 18.7; 2 0.0; 3 2.7.

***

1 | Entry from Alexandria: a geometry-optimized LaHg2W structure (PBE).

- mass density (kg/m³) = 13217
- space-group type = No. 35

Lattice parameters (Å, degrees): 3.068 3.068 9.663 90.00 90.00 90.22
Positions (direct):
La 0.000 0.000 0.000
Hg 0.000 0.000 0.466
Hg 0.500 0.500 0.720
W 0.500 0.500 0.251

***

2 | Entry from Alexandria: a geometry-optimized LaHg2W structure (PBE).

- mass density (kg/m³) = 13261
- space-group type = No. 123

Lattice parameters (Å, degrees): 5.358 5.358 3.157 90.00 90.00 90.00
Positions (direct):
La 0.000 0.000 0.000
Hg 0.000 0.500 0.500
Hg 0.500 0.000 0.500
W 0.500 0.500 0.000

***

3 | Entry from Alexandria: a geometry-optimized LaHg2W structure (PBE).

- mass density (kg/m³) = 12996
- space-group type = No. 139

Lattice parameters (Å, degrees): 5.525 5.525 5.525 131.54 131.54 70.95
Positions (direct):
La 0.000 0.000 0.000
Hg 0.250 0.750 0.500
Hg 0.750 0.250 0.500
W 0.500 0.500 0.000

***

4 | Entry from Alexandria: a geometry-optimized LaHg2W structure (PBE).

- mass density (kg/m³) = 12694
- space-group type = No. 25

Lattice parameters (Å, degrees): 3.162 4.973 6.022 90.00 90.00 90.00
Positions (direct):
La 0.000 0.000 0.000
Hg 0.500 0.000 0.518
Hg 0.500 0.500 0.262
W 0.500 0.500 0.758

***

How do the energies compare? Relative to the most stable structure, in kJ/mol of atoms: 1 0.0; 2 14.7; 3 2.1; 4 5.4.

***

1 | Entry from Alexandria: a geometry-optimized LaHg2W structure (PBE).

- mass density (kg/m³) = 11861
- space-group type = No. 44

Lattice parameters (Å, degrees): 7.276 7.276 7.276 155.56 140.37 47.11
Positions (direct):
La 0.000 0.000 0.000
Hg 0.373 0.373 0.000
Hg 0.688 0.188 0.500
W 0.192 0.692 0.500

***

2 | Entry from Alexandria: a geometry-optimized LaHg2W structure (PBE).

- mass density (kg/m³) = 12865
- space-group type = No. 71

Lattice parameters (Å, degrees): 6.192 6.192 6.192 147.31 132.69 58.69
Positions (direct):
La 0.000 0.000 0.000
Hg 0.284 0.784 0.500
Hg 0.716 0.216 0.500
W 0.500 0.500 0.000

***

How do the energies compare? Relative to the most stable structure, in kJ/mol of atoms: 1 0.0; 2 0.9.

***

1 | Entry from Alexandria: a geometry-optimized LaHg2W structure (PBE).

- mass density (kg/m³) = 12810
- space-group type = No. 119

Lattice parameters (Å, degrees): 5.660 5.660 5.660 133.48 133.48 67.90
Positions (direct):
La 0.000 0.000 0.000
Hg 0.500 0.500 0.000
Hg 0.750 0.250 0.500
W 0.250 0.750 0.500

***

2 | Entry from Alexandria: a geometry-optimized LaHg2W structure (PBE).

- mass density (kg/m³) = 13249
- space-group type = No. 10

Lattice parameters (Å, degrees): 3.109 4.269 6.836 90.00 90.14 90.00
Positions (direct):
La 0.000 0.000 0.000
Hg 0.499 0.500 0.710
Hg 0.501 0.500 0.290
W 0.000 0.000 0.500

***

3 | Entry from Alexandria: a geometry-optimized LaHg2W structure (PBE).

- mass density (kg/m³) = 13776
- space-group type = No. 123

Lattice parameters (Å, degrees): 3.066 3.066 9.281 90.00 90.00 90.00
Positions (direct):
La 0.000 0.000 0.000
Hg 0.500 0.500 0.277
Hg 0.500 0.500 0.723
W 0.000 0.000 0.500

***

How do the energies compare? Relative to the most stable structure, in kJ/mol of atoms: 1 17.0; 2 0.0; 3 1.0.

***

1 | Entry from Alexandria: a geometry-optimized LaHg2W structure (PBE).

- mass density (kg/m³) = 12989
- space-group type = No. 12

Lattice parameters (Å, degrees): 5.570 5.570 5.677 101.47 101.47 32.49
Positions (direct):
La 0.000 0.000 0.000
Hg 0.233 0.233 0.718
Hg 0.767 0.767 0.282
W 0.500 0.500 0.500

***

2 | Entry from Alexandria: a geometry-optimized LaHg2W structure (PBE).

- mass density (kg/m³) = 11770
- space-group type = No. 122

Lattice parameters (Å, degrees): 11.036 11.036 11.036 157.05 157.05 32.69
Positions (direct):
La 0.000 0.000 0.000
La 0.750 0.250 0.500
Hg 0.173 0.625 0.048
Hg 0.375 0.423 0.548
Hg 0.577 0.125 0.952
Hg 0.875 0.827 0.452
W 0.250 0.750 0.500
W 0.500 0.500 0.000

***

How do the energies compare? Relative to the most stable structure, in kJ/mol of atoms: 1 0.0; 2 24.4.

***

1 | Entry from Alexandria: a geometry-optimized LaHg3W structure (PBE).

- mass density (kg/m³) = 10698
- space-group type = No. 221

Lattice parameters (Å, degrees): 5.235 5.235 5.235 90.00 90.00 90.00
Positions (direct):
La 0.000 0.000 0.000
Hg 0.000 0.500 0.500
Hg 0.500 0.000 0.500
Hg 0.500 0.500 0.000
W 0.500 0.500 0.500

***

2 | Entry from Alexandria: a geometry-optimized LaHg3W structure (PBE).

- mass density (kg/m³) = 7316
- space-group type = No. 221

Lattice parameters (Å, degrees): 5.942 5.942 5.942 90.00 90.00 90.00
Positions (direct):
La 0.000 0.000 0.000
Hg 0.000 0.000 0.500
Hg 0.000 0.500 0.000
Hg 0.500 0.000 0.000
W 0.500 0.500 0.500

***

How do the energies compare? Relative to the most stable structure, in kJ/mol of atoms: 1 0.0; 2 112.7.

***

1 | Entry from Alexandria: a geometry-optimized LaHgW3 structure (PBE).

- mass density (kg/m³) = 11566
- space-group type = No. 221

Lattice parameters (Å, degrees): 5.039 5.039 5.039 90.00 90.00 90.00
Positions (direct):
La 0.000 0.000 0.000
Hg 0.500 0.500 0.500
W 0.000 0.500 0.500
W 0.500 0.000 0.500
W 0.500 0.500 0.000

***

2 | Entry from Alexandria: a geometry-optimized LaHgW3 structure (PBE).

- mass density (kg/m³) = 12671
- space-group type = No. 221

Lattice parameters (Å, degrees): 4.888 4.888 4.888 90.00 90.00 90.00
Positions (direct):
La 0.000 0.000 0.000
Hg 0.500 0.500 0.500
W 0.000 0.000 0.500
W 0.000 0.500 0.000
W 0.500 0.000 0.000

***

How do the energies compare? Relative to the most stable structure, in kJ/mol of atoms: 1 0.0; 2 44.8.

***

1 | Entry from Alexandria: a geometry-optimized LaY3Hg structure (PBE).

- mass density (kg/m³) = 5457
- space-group type = No. 221

Lattice parameters (Å, degrees): 5.692 5.692 5.692 90.00 90.00 90.00
Positions (direct):
La 0.000 0.000 0.000
Y 0.000 0.500 0.500
Y 0.500 0.000 0.500
Y 0.500 0.500 0.000
Hg 0.500 0.500 0.500

***

2 | Entry from Alexandria: a geometry-optimized LaY3Hg structure (PBE).

- mass density (kg/m³) = 5617
- space-group type = No. 221

Lattice parameters (Å, degrees): 5.638 5.638 5.638 90.00 90.00 90.00
Positions (direct):
La 0.000 0.000 0.000
Y 0.000 0.000 0.500
Y 0.000 0.500 0.000
Y 0.500 0.000 0.000
Hg 0.500 0.500 0.500

***

How do the energies compare? Relative to the most stable structure, in kJ/mol of atoms: 1 0.0; 2 62.1.

***

1 | Entry from Alexandria: a geometry-optimized LaY2Hg2 structure (PBE).

- mass density (kg/m³) = 8257
- space-group type = No. 127

Lattice parameters (Å, degrees): 8.703 8.703 3.813 90.00 90.00 90.00
Positions (direct):
La 0.000 0.000 0.000
La 0.500 0.500 0.000
Y 0.165 0.335 0.500
Y 0.335 0.835 0.500
Y 0.665 0.165 0.500
Y 0.835 0.665 0.500
Hg 0.132 0.632 0.000
Hg 0.368 0.132 0.000
Hg 0.632 0.868 0.000
Hg 0.868 0.368 0.000

***

2 | Entry from Alexandria: a geometry-optimized LaY2Hg2 structure (PBE).

- mass density (kg/m³) = 7519
- space-group type = No. 139

Lattice parameters (Å, degrees): 7.727 7.727 7.727 144.00 144.00 51.83
Positions (direct):
La 0.000 0.000 0.000
Y 0.381 0.381 0.000
Y 0.619 0.619 0.000
Hg 0.250 0.750 0.500
Hg 0.750 0.250 0.500

***

How do the energies compare? Relative to the most stable structure, in kJ/mol of atoms: 1 0.0; 2 26.8.

***

1 | Entry from Alexandria: a geometry-optimized La4YHg structure (PBE).

- mass density (kg/m³) = 6871
- space-group type = No. 216

Lattice parameters (Å, degrees): 6.610 6.610 6.610 60.00 60.00 60.00
Positions (direct):
La 0.125 0.125 0.125
La 0.125 0.125 0.624
La 0.125 0.624 0.125
La 0.624 0.125 0.125
Y 0.750 0.750 0.750
Hg 0.500 0.500 0.500

***

2 | Entry from Alexandria: a geometry-optimized La4YHg structure (PBE).

- mass density (kg/m³) = 6955
- space-group type = No. 123

Lattice parameters (Å, degrees): 3.774 3.774 14.168 90.00 90.00 90.00
Positions (direct):
La 0.000 0.000 0.146
La 0.000 0.000 0.854
La 0.500 0.500 0.324
La 0.500 0.500 0.676
Y 0.000 0.000 0.500
Hg 0.500 0.500 0.000

***

How do the energies compare? Relative to the most stable structure, in kJ/mol of atoms: 1 36.6; 2 0.0.

***

1 | Entry from Alexandria: a geometry-optimized La3YHg structure (PBE).

- mass density (kg/m³) = 5887
- space-group type = No. 221

Lattice parameters (Å, degrees): 5.840 5.840 5.840 90.00 90.00 90.00
Positions (direct):
La 0.000 0.000 0.500
La 0.000 0.500 0.000
La 0.500 0.000 0.000
Y 0.000 0.000 0.000
Hg 0.500 0.500 0.500

***

2 | Entry from Alexandria: a geometry-optimized La3YHg structure (PBE).

- mass density (kg/m³) = 5541
- space-group type = No. 221

Lattice parameters (Å, degrees): 5.959 5.959 5.959 90.00 90.00 90.00
Positions (direct):
La 0.000 0.000 0.500
La 0.000 0.500 0.000
La 0.500 0.000 0.000
Y 0.500 0.500 0.500
Hg 0.000 0.000 0.000

***

3 | Entry from Alexandria: a geometry-optimized La3YHg structure (PBE).

- mass density (kg/m³) = 7047
- space-group type = No. 2

Lattice parameters (Å, degrees): 3.849 8.770 10.282 102.28 100.77 90.02
Positions (direct):
La 0.004 0.289 0.007
La 0.187 0.375 0.375
La 0.203 0.839 0.407
La 0.797 0.161 0.593
La 0.813 0.625 0.625
La 0.996 0.711 0.993
Y 0.407 0.963 0.815
Y 0.593 0.037 0.185
Hg 0.393 0.420 0.786
Hg 0.607 0.580 0.214

***

How do the energies compare? Relative to the most stable structure, in kJ/mol of atoms: 1 72.7; 2 44.0; 3 0.0.